The following is a DFT calculation (GGA-PBE) of a geometry-optimized Ca2YMo structure.

Cell: 6.0408 6.0408 6.0408 Å, 134.83 134.83 65.79°
Site moments in Bohr magnetons follow the coordinates.
Element x y z (fractional)
Y  0.7500  0.2500  0.5000  -0.07
Mo  0.2500  0.7500  0.5000  0.58
Ca  0.0000  0.0000  0.0000  -0.02
Ca  0.5000  0.5000  0.0000  -0.02

## Properties
total magnetization = 0.5 μB per cell
excess energy over the best structure of this formula in the dataset = 218 meV per atom
calculated formation energy = 0.649 eV/atom
calculated volume = 109.2 Å³ per cell
electronic total energy = -4.675 eV/atom

***

The following is a DFT calculation (GGA-PBE) of a geometry-optimized Pm2Sn4RuRh3 structure.

Cell: 4.5474 4.5474 10.4805 Å, 90.00 90.00 90.00°
Element x y z (fractional)
Pm  0.5000  0.0000  0.2600
Pm  0.0000  0.5000  0.7400
Sn  0.5000  0.5000  0.0000
Sn  0.0000  0.0000  0.0000
Sn  0.5000  0.0000  0.6274
Sn  0.0000  0.5000  0.3726
Ru  0.5000  0.5000  0.5000
Rh  0.0000  0.0000  0.5000
Rh  0.5000  0.0000  0.8719
Rh  0.0000  0.5000  0.1281

## Properties
total magnetization = 0.0 μB per cell
calculated formation energy = -0.628 eV/atom
calculated volume = 216.7 Å³ per cell
electronic total energy = -6.312 eV/atom

***

The following is a DFT calculation (GGA-PBE) of a geometry-optimized ReTeMo2 structure.

Cell: 3.0581 4.2104 5.3712 Å, 90.00 90.00 90.00°
Element x y z (fractional)
Mo  0.0000  0.0000  0.0117
Mo  0.5000  0.5000  0.2640
Re  0.0000  0.0000  0.4658
Te  0.5000  0.5000  0.7585

## Properties
total magnetization = 0.0 μB per cell
formation energy without anion corrections = 0.491 eV per atom
calculated volume = 69.2 Å³ per cell
electronic total energy = -8.822 eV/atom